# 1
4
Lattice="3.258 0.000 0.000 0.000 3.368 0.000 -0.081 0.000 6.703" Properties=species:S:1:pos:R:3 comment="SbAsPt2, relaxed, DFT PBE" total_energy_ev_per_cell=-21.120 pbc="T T T"
Sb 0.000 0.000 0.000
As -0.041 0.000 3.352
Pt 1.598 1.684 1.867
Pt 1.578 1.684 4.836

---

# 2
18
Lattice="7.200 0.000 0.000 -3.600 6.236 0.000 0.000 0.000 13.893" Properties=species:S:1:pos:R:3 comment="KTiAgBr6, relaxed, DFT PBE" total_energy_ev_per_cell=-63.288 pbc="T T T"
K 0.000 0.000 0.000
K 0.000 0.000 6.947
Ti 0.000 4.157 3.473
Ti 3.600 2.079 10.420
Ag 0.000 4.157 10.420
Ag 3.600 2.079 3.473
Br -1.151 2.447 1.994
Br -2.057 4.016 4.952
Br 1.151 2.447 4.952
Br -0.906 6.009 1.994
Br 2.694 0.227 8.941
Br 1.544 2.220 11.899
Br 2.057 4.016 1.994
Br 0.906 6.009 4.952
Br 4.506 0.227 11.899
Br 2.449 3.789 8.941
Br 5.657 2.220 8.941
Br 4.751 3.789 11.899

---

# 3
4
Lattice="3.760 0.000 0.000 0.000 2.061 4.991 0.000 -2.061 4.991" Properties=species:S:1:pos:R:3 comment="In2TcP, relaxed, DFT PBE" total_energy_ev_per_cell=-21.303 formation_enthalpy_0k_mev_per_atom=-13 pbc="T T T"
In 0.000 0.000 0.000
In 1.880 0.000 3.024
Tc 1.880 0.000 5.873
P 0.000 0.000 7.239

---

# 4
18
Lattice="5.072 -4.727 0.000 5.072 4.727 0.000 -1.676 0.000 4.948" Properties=species:S:1:pos:R:3 comment="Be2CdF6, relaxed, DFT PBE" total_energy_ev_per_cell=-91.279 pbc="T T T"
Be 1.706 0.716 1.079
Be 0.868 -0.716 3.553
Be 7.600 0.716 1.396
Be 6.762 -0.716 3.870
Cd 3.815 1.247 3.711
Cd 4.653 -1.247 1.237
F 2.103 2.545 4.050
F 0.793 0.061 2.192
F -0.046 -0.061 4.666
F 3.209 0.608 1.609
F 5.527 2.545 3.372
F 2.371 -0.608 4.083
F 6.097 0.608 0.865
F 2.941 -2.545 1.576
F 5.259 -0.608 3.340
F 8.514 0.061 0.283
F 7.676 -0.061 2.757
F 6.365 -2.545 0.898

---

- Which formula does entry 1 have?
  SbAsPt2

---

- What is the formula in the third record?
  In2TcP